No. 1
CaDyAsSe: optimized geometry, PBE.

a = 4.1718 Å, b = 4.1718 Å, c = 20.6324 Å
α = 90.00°, β = 90.00°, γ = 120.00°
Space group R3m (No. 160, hexagonal axes)
Unique sites:
1 Ca 0.0000 0.0000 0.0000
2 Dy 0.0000 0.0000 0.4921
3 As 0.0000 0.0000 0.7510
4 Se 0.0000 0.0000 0.2443

Output
Final energy = -5.3891 eV per atom

=====

No. 2
ThGa4Pt6: optimized geometry, PBE.

a = 6.7034 Å, b = 6.7034 Å, c = 9.3354 Å
α = 90.00°, β = 90.00°, γ = 90.00°
Space group I-42m (No. 121)
Unique sites:
1 Th 0.0000 0.0000 0.0000
2 Ga 0.2007 0.2007 0.3263
3 Pt 0.0000 0.5000 0.0000
4 Pt 0.1647 0.1647 0.6083

Output
Formation energy = -0.553 eV/atom

=====

No. 3
PrHo3Ir: optimized geometry, PBE.

a = 7.9371 Å, b = 7.4209 Å, c = 10.1143 Å
α = 90.00°, β = 106.62°, γ = 90.00°
Space group P2_1/c (No. 14)
Unique sites:
1 Pr 0.1866 0.0430 0.2547
2 Ho 0.0744 0.7051 0.0306
3 Ho 0.2924 0.5100 0.3816
4 Ho 0.4104 0.1267 0.6045
5 Ir 0.4415 0.7447 0.6059

Output
Formation energy = -0.363 eV/atom

=====

No. 4
CsP2F: optimized geometry, PBE.

a = 7.1612 Å, b = 7.1612 Å, c = 7.1612 Å
α = 90.00°, β = 90.00°, γ = 90.00°
Space group Fm-3m (No. 225)
Unique sites:
1 Cs 0.0000 0.0000 0.0000
2 P 0.2500 0.2500 0.2500
3 F 0.0000 0.0000 0.5000

Output
Final energy = -2.6082 eV per atom

=====

No. 5
ZnReP2: optimized geometry, PBE.

a = 7.7970 Å, b = 3.1253 Å, c = 4.9212 Å
α = 90.00°, β = 95.50°, γ = 90.00°
Space group C2/m (No. 12)
Unique sites:
1 Zn 0.0000 0.0000 0.0000
2 Re 0.0000 0.5000 0.5000
3 P 0.2203 0.0000 0.7058

Output
Formation energy = 0.114 eV/atom

=====

No. 6
MoAu2: optimized geometry, PBE.

a = 6.3731 Å, b = 6.3731 Å, c = 6.3731 Å
α = 90.00°, β = 90.00°, γ = 90.00°
Space group Pa-3 (No. 205)
Unique sites:
1 Mo 0.0000 0.0000 0.0000
2 Au 0.1273 0.6273 0.8727

Output
Formation energy = 1.030 eV/atom

=====

No. 7
CrInFe2: optimized geometry, PBE.

a = 2.8656 Å, b = 2.8656 Å, c = 24.8526 Å
α = 90.00°, β = 90.00°, γ = 120.00°
Space group R3m (No. 160, hexagonal axes)
Unique sites:
1 Cr 0.0000 0.0000 0.0000
2 In 0.0000 0.0000 0.2382
3 Fe 0.0000 0.0000 0.4796
4 Fe 0.0000 0.0000 0.7400

Output
Formation energy = 0.474 eV/atom

=====

No. 8
La3HoSe4: optimized geometry, PBE.

a = 7.4055 Å, b = 8.4509 Å, c = 7.3593 Å
α = 90.00°, β = 109.35°, γ = 90.00°
Space group P2/c (No. 13)
Unique sites:
1 La 0.0000 0.1238 0.2500
2 La 0.0000 0.3739 0.7500
3 La 0.5000 0.1250 0.7500
4 Ho 0.5000 0.3739 0.2500
5 Se 0.2578 0.1327 0.0080
6 Se 0.2645 0.3828 0.4998

Output
Final energy = -6.0897 eV per atom